1.
# GdLuTlCu

An optimized crystal structure of GdLuTlCu (PBE-GGA, Alexandria via LeMat-Bulk).

Unit cell a=5.149 b=5.149 c=5.149 alpha=60.00 beta=60.00 gamma=60.00
Element x y z (fractional)
Gd: 0.000 0.000 0.000
Lu: 0.500 0.500 0.500
Tl: 0.250 0.250 0.250
Cu: 0.750 0.750 0.750

Summary:
- Raw total energy: -26.0 eV per cell

2.
# Ca3Pu3PdN8

An optimized crystal structure of Ca3Pu3PdN8 (PBE-GGA, Alexandria via LeMat-Bulk).

Unit cell a=6.848 b=6.848 c=6.848 alpha=58.97 beta=58.97 gamma=58.97
Element x y z (fractional)
Ca: 0.000 0.500 0.500
Ca: 0.500 0.000 0.500
Ca: 0.500 0.500 0.000
Pu: 0.000 0.000 0.500
Pu: 0.000 0.500 0.000
Pu: 0.500 0.000 0.000
Pd: 0.500 0.500 0.500
N: 0.233 0.735 0.735
N: 0.241 0.241 0.241
N: 0.265 0.265 0.767
N: 0.265 0.767 0.265
N: 0.735 0.233 0.735
N: 0.735 0.735 0.233
N: 0.759 0.759 0.759
N: 0.767 0.265 0.265

Summary:
- Raw total energy: -132.3 eV per cell
- ΔE_f (raw): -0.769 eV per atom

3.
# La6PrSm5

An optimized crystal structure of La6PrSm5 (PBE-GGA, Alexandria via LeMat-Bulk).

Unit cell a=8.219 b=8.219 c=6.416 alpha=97.37 beta=97.37 gamma=84.80
Element x y z (fractional)
La: 0.082 0.416 0.749
La: 0.249 0.249 0.251
La: 0.416 0.082 0.749
La: 0.584 0.918 0.251
La: 0.751 0.751 0.749
La: 0.918 0.584 0.251
Pr: 0.500 0.500 0.000
Sm: 0.000 0.000 0.500
Sm: 0.166 0.834 0.000
Sm: 0.333 0.667 0.500
Sm: 0.667 0.333 0.500
Sm: 0.834 0.166 0.000

Summary:
- Offset from the most stable computed form: 0.0 kJ per mole of atoms
- Raw total energy: -57.8 eV per cell

4.
# CaZrAu2

An optimized crystal structure of CaZrAu2 (PBE-GGA, Alexandria via LeMat-Bulk).

Unit cell a=4.222 b=4.222 c=7.184 alpha=104.44 beta=104.44 gamma=54.76
Element x y z (fractional)
Ca: 0.000 0.000 0.000
Zr: 0.500 0.500 0.500
Au: 0.240 0.240 0.715
Au: 0.760 0.760 0.285

Summary:
- Raw total energy: -18.8 eV per cell

5.
# TbPrNd2Tm

An optimized crystal structure of TbPrNd2Tm (PBE-GGA, Alexandria via LeMat-Bulk).

Unit cell a=8.442 b=6.616 c=6.262 alpha=90.00 beta=93.67 gamma=90.00
Element x y z (fractional)
Tb: 0.000 0.067 0.250
Tb: 0.000 0.933 0.750
Pr: 0.000 0.500 0.000
Pr: 0.000 0.500 0.500
Nd: 0.310 0.191 0.729
Nd: 0.310 0.809 0.229
Nd: 0.690 0.191 0.771
Nd: 0.690 0.809 0.271
Tm: 0.500 0.338 0.250
Tm: 0.500 0.662 0.750

Summary:
- Raw total energy: -44.1 eV per cell

6.
# LiGa4Pd

An optimized crystal structure of LiGa4Pd (PBE-GGA, Alexandria via LeMat-Bulk).

Unit cell a=4.323 b=6.728 c=7.538 alpha=78.19 beta=89.46 gamma=71.68
Element x y z (fractional)
Li: 0.142 0.216 0.219
Li: 0.858 0.784 0.781
Ga: 0.079 0.346 0.848
Ga: 0.211 0.079 0.584
Ga: 0.295 0.910 0.947
Ga: 0.435 0.628 0.636
Ga: 0.565 0.372 0.364
Ga: 0.705 0.090 0.053
Ga: 0.789 0.921 0.416
Ga: 0.921 0.654 0.152
Pd: 0.000 0.500 0.500
Pd: 0.500 0.500 0.000

Summary:
- Offset from the most stable computed form: 0.0 kJ per mole of atoms
- Raw total energy: -42.6 eV per cell

7.
# ZrGa2CoP

An optimized crystal structure of ZrGa2CoP (PBE-GGA, Alexandria via LeMat-Bulk).

Unit cell a=4.535 b=4.535 c=4.881 alpha=90.00 beta=90.00 gamma=90.00
Element x y z (fractional)
Zr: 0.000 0.000 0.000
Ga: 0.000 0.500 0.500
Ga: 0.500 0.000 0.500
Co: 0.500 0.500 0.000
P: 0.000 0.000 0.500

Summary:
- Raw total energy: -24.1 eV per cell

Which of these has the lowest raw total energy? Ca3Pu3PdN8